Compound: LaNd6Sm5
Source: Alexandria via LeMat-Bulk
Functional: PBE
Structure: relaxed

Properties
DOS at the Fermi energy ... 18.72 states/eV/f.u.
SG ... C2/m
Formation enthalpy at 0 K ... 14 meV/atom
Magnetization ... 0.000 μB per formula unit

Cell lengths 11.596, 5.191, 8.210 Å; angles 71.57, 81.85, 63.34 degrees
Fractional coordinates of all 12 atoms:
1 Nd 0.748 0.752 0.000
2 Nd 0.251 0.582 0.334
3 Nd 0.749 0.418 0.666
4 Nd 0.252 0.248 0.000
5 Nd 0.251 0.916 0.666
6 Nd 0.749 0.084 0.334
7 Sm 0.500 0.167 0.666
8 Sm 0.500 0.500 0.000
9 Sm 0.000 0.668 0.664
10 Sm 0.000 0.332 0.336
11 Sm 0.500 0.833 0.334
12 La 0.000 0.000 0.000